(1)
## Co3B (PBE)

Data for a relaxed Co3B crystal.

a = 5.1596 Å, b = 6.6128 Å, c = 4.3949 Å
α = 90.00°, β = 90.00°, γ = 90.00°
Closest atoms and distances in Å follow each position.
Space group Pnma (No. 62)
Unique sites:
Co: 0.0248 0.2500 0.1341 x4  2 B 2.03
Co: 0.1840 0.0592 0.6497 x8  3 B 2.05-2.27
B: 0.1201 0.7500 0.4375 x4  6 Co 2.03-2.05

## Properties
energy of formation from the pure elements = -0.18 eV per atom

***

(2)
## Sm2AlS (PBE)

Data for a relaxed Sm2AlS crystal.

a = 3.8637 Å, b = 3.8637 Å, c = 24.0788 Å
α = 90.00°, β = 90.00°, γ = 120.00°
Closest atoms and distances in Å follow each position.
Space group R3m (No. 160, hexagonal axes)
Unique sites:
Sm: 0.0000 0.0000 0.0000 x3  3 S 2.82
Sm: 0.0000 0.0000 0.1917 x3  3 S 2.79
Al: 0.0000 0.0000 0.7630 x3  6 Sm 3.20-3.22
S: 0.0000 0.0000 0.5947 x3  6 Sm 2.79-2.82

## Properties
uncorrected formation energy = -1030 meV/atom

***

(3)
## CePt4Pb (PBE)

Data for a relaxed CePt4Pb crystal.

a = 7.7436 Å, b = 7.7436 Å, c = 7.7436 Å
α = 90.00°, β = 90.00°, γ = 90.00°
Closest atoms and distances in Å follow each position.
Space group F-43m (No. 216)
Unique sites:
Ce: 0.0000 0.0000 0.0000 x4  12 Pt 3.21, 4 Pb 3.35
Pt: 0.1248 0.1248 0.3752 x16  6 Pt 2.73-2.74
Pb: 0.2500 0.2500 0.7500 x4  12 Pt 3.21, 4 Ce 3.35

## Properties
energy of formation from the pure elements = -0.72 eV per atom

***

(4)
## Zr2AlBr (PBE)

Data for a relaxed Zr2AlBr crystal.

a = 3.2914 Å, b = 3.2914 Å, c = 9.1826 Å
α = 90.00°, β = 90.00°, γ = 90.00°
Closest atoms and distances in Å follow each position.
Space group P4mm (No. 99)
Unique sites:
Zr: 0.0000 0.0000 0.0000 x1  4 Br 2.91, 4 Zr 3.25
Zr: 0.5000 0.5000 0.2471 x1  4 Al 2.86
Al: 0.0000 0.0000 0.4289 x1  4 Zr 2.86
Br: 0.5000 0.5000 0.8097 x1  4 Zr 2.91

## Properties
uncorrected formation energy = -287 meV/atom

***

The total energy results, record by record, are as follows: -114.905; -64.287; -152.479; -23.662 eV for the cell shown.
The magnetization results, record by record, are as follows: 3.540; 0.000; 0.269; 0.000 μB/f.u..
The calculated volume results, record by record, are as follows: 150.0; 311.3; 464.3; 99.5 Å³ per cell.